No. 1
# PBE-GGA TbGdB2As2Ir2, optimized geometry
data_TbGdB2As2Ir2
_chemical_formula_sum 'Tb1 Gd1 B2 As2 Ir2'
_cell_length_a 3.9823
_cell_length_b 3.9823
_cell_length_c 8.6471
_cell_angle_alpha 90.00
_cell_angle_beta 90.00
_cell_angle_gamma 90.00
_symmetry_space_group_name_H-M 'P 1'
_symmetry_Int_Tables_number 1
loop_
_symmetry_equiv_pos_as_xyz
'x,y,z'
loop_
_atom_site_label
_atom_site_type_symbol
_atom_site_fract_x
_atom_site_fract_y
_atom_site_fract_z
Ir1 Ir 0.5000 0.0000 0.5003
B1 B 0.5000 0.5000 0.3938
As1 As 0.0000 0.0000 0.8549
B2 B 0.0000 0.0000 0.6059
Gd1 Gd 0.0000 0.0000 0.2096
As2 As 0.5000 0.5000 0.1445
Ir2 Ir 0.0000 0.5000 0.5003
Tb1 Tb 0.5000 0.5000 0.7908
# Electronic total energy ... -7.078 eV/atom
# SG ... No. 99
# Calculated density ... 10.560 Mg/m³


No. 2
# PBE-GGA GdYB2As2Ir2, optimized geometry
data_GdYB2As2Ir2
_chemical_formula_sum 'Gd1 Y1 B2 As2 Ir2'
_cell_length_a 3.9776
_cell_length_b 3.9776
_cell_length_c 8.6690
_cell_angle_alpha 90.00
_cell_angle_beta 90.00
_cell_angle_gamma 90.00
_symmetry_space_group_name_H-M 'P 1'
_symmetry_Int_Tables_number 1
loop_
_symmetry_equiv_pos_as_xyz
'x,y,z'
loop_
_atom_site_label
_atom_site_type_symbol
_atom_site_fract_x
_atom_site_fract_y
_atom_site_fract_z
Ir1 Ir 0.5000 0.0000 0.5003
B1 B 0.5000 0.5000 0.3934
As1 As 0.5000 0.5000 0.1443
Y1 Y 0.5000 0.5000 0.7917
As2 As 0.0000 0.0000 0.8540
Ir2 Ir 0.0000 0.5000 0.5003
B2 B 0.0000 0.0000 0.6055
Gd1 Gd 0.0000 0.0000 0.2104
# Electronic total energy ... -7.306 eV/atom
# SG ... No. 99
# Calculated density ... 9.711 Mg/m³


No. 3
# PBE-GGA Nd2GdNi2B2As3, optimized geometry
data_Nd2GdNi2B2As3
_chemical_formula_sum 'Nd2 Gd1 Ni2 B2 As3'
_cell_length_a 11.4502
_cell_length_b 11.4502
_cell_length_c 11.4502
_cell_angle_alpha 159.29
_cell_angle_beta 159.29
_cell_angle_gamma 29.46
_symmetry_space_group_name_H-M 'P 1'
_symmetry_Int_Tables_number 1
loop_
_symmetry_equiv_pos_as_xyz
'x,y,z'
loop_
_atom_site_label
_atom_site_type_symbol
_atom_site_fract_x
_atom_site_fract_y
_atom_site_fract_z
As1 As 0.8709 0.8709 0.0000
As2 As 0.5000 0.5000 0.0000
B1 B 0.7766 0.7766 0.0000
Ni1 Ni 0.2500 0.7500 0.5000
As3 As 0.1291 0.1291 0.0000
Gd1 Gd 0.0000 0.0000 0.0000
Nd1 Nd 0.3576 0.3576 0.0000
Nd2 Nd 0.6424 0.6424 0.0000
B2 B 0.2234 0.2234 0.0000
Ni2 Ni 0.7500 0.2500 0.5000
# Electronic total energy ... -6.045 eV/atom
# SG ... No. 139
# Calculated density ... 7.163 Mg/m³


No. 4
# PBE-GGA Tb2GdNi2B2As3, optimized geometry
data_Tb2GdNi2B2As3
_chemical_formula_sum 'Tb2 Gd1 Ni2 B2 As3'
_cell_length_a 11.3176
_cell_length_b 11.3176
_cell_length_c 11.3176
_cell_angle_alpha 159.43
_cell_angle_beta 159.43
_cell_angle_gamma 29.25
_symmetry_space_group_name_H-M 'P 1'
_symmetry_Int_Tables_number 1
loop_
_symmetry_equiv_pos_as_xyz
'x,y,z'
loop_
_atom_site_label
_atom_site_type_symbol
_atom_site_fract_x
_atom_site_fract_y
_atom_site_fract_z
Ni1 Ni 0.7500 0.2500 0.5000
As1 As 0.1296 0.1296 0.0000
Tb1 Tb 0.3577 0.3577 0.0000
Ni2 Ni 0.2500 0.7500 0.5000
B1 B 0.2249 0.2249 0.0000
B2 B 0.7751 0.7751 0.0000
As2 As 0.5000 0.5000 0.0000
Tb2 Tb 0.6423 0.6423 0.0000
As3 As 0.8704 0.8704 0.0000
Gd1 Gd 0.0000 0.0000 0.0000
# Electronic total energy ... -6.037 eV/atom
# SG ... No. 139
# Calculated density ... 7.789 Mg/m³


No. 5
# PBE-GGA TbGdNi2B2As2, optimized geometry
data_TbGdNi2B2As2
_chemical_formula_sum 'Tb1 Gd1 Ni2 B2 As2'
_cell_length_a 3.9557
_cell_length_b 3.9557
_cell_length_c 8.1530
_cell_angle_alpha 90.00
_cell_angle_beta 90.00
_cell_angle_gamma 90.00
_symmetry_space_group_name_H-M 'P 1'
_symmetry_Int_Tables_number 1
loop_
_symmetry_equiv_pos_as_xyz
'x,y,z'
loop_
_atom_site_label
_atom_site_type_symbol
_atom_site_fract_x
_atom_site_fract_y
_atom_site_fract_z
Tb1 Tb 0.5000 0.5000 0.7752
Gd1 Gd 0.0000 0.0000 0.2251
B1 B 0.5000 0.5000 0.4107
B2 B 0.0000 0.0000 0.5889
Ni1 Ni 0.0000 0.5000 0.5006
As1 As 0.5000 0.5000 0.1512
Ni2 Ni 0.5000 0.0000 0.5006
As2 As 0.0000 0.0000 0.8479
# Electronic total energy ... -6.031 eV/atom
# SG ... No. 99
# Calculated density ... 7.875 Mg/m³


No. 6
# PBE-GGA GdYNi2B2As2, optimized geometry
data_GdYNi2B2As2
_chemical_formula_sum 'Gd1 Y1 Ni2 B2 As2'
_cell_length_a 3.9626
_cell_length_b 3.9626
_cell_length_c 8.1745
_cell_angle_alpha 90.00
_cell_angle_beta 90.00
_cell_angle_gamma 90.00
_symmetry_space_group_name_H-M 'P 1'
_symmetry_Int_Tables_number 1
loop_
_symmetry_equiv_pos_as_xyz
'x,y,z'
loop_
_atom_site_label
_atom_site_type_symbol
_atom_site_fract_x
_atom_site_fract_y
_atom_site_fract_z
As1 As 0.0000 0.0000 0.8437
B1 B 0.0000 0.0000 0.5843
As2 As 0.5000 0.5000 0.1542
Y1 Y 0.5000 0.5000 0.7765
Gd1 Gd 0.0000 0.0000 0.2259
Ni1 Ni 0.0000 0.5000 0.5008
B2 B 0.5000 0.5000 0.4137
Ni2 Ni 0.5000 0.0000 0.5008
# Electronic total energy ... -6.260 eV/atom
# SG ... No. 99
# Calculated density ... 6.921 Mg/m³


No. 7
# PBE-GGA Nb4GeB2As, optimized geometry
data_Nb4GeB2As
_chemical_formula_sum 'Nb4 Ge1 B2 As1'
_cell_length_a 3.3375
_cell_length_b 3.3375
_cell_length_c 12.4697
_cell_angle_alpha 90.00
_cell_angle_beta 90.00
_cell_angle_gamma 120.00
_symmetry_space_group_name_H-M 'P 1'
_symmetry_Int_Tables_number 1
loop_
_symmetry_equiv_pos_as_xyz
'x,y,z'
loop_
_atom_site_label
_atom_site_type_symbol
_atom_site_fract_x
_atom_site_fract_y
_atom_site_fract_z
B1 B 0.3333 0.6667 0.7524
Nb1 Nb 0.6667 0.3333 0.1473
Nb2 Nb 0.0000 0.0000 0.6553
Nb3 Nb 0.6667 0.3333 0.8527
As1 As 0.0000 0.0000 0.0000
Ge1 Ge 0.6667 0.3333 0.5000
B2 B 0.3333 0.6667 0.2476
Nb4 Nb 0.0000 0.0000 0.3447
# Electronic total energy ... -8.490 eV/atom
# SG ... No. 187
# Calculated density ... 7.466 Mg/m³


No. 8
# PBE-GGA Hf2BAs, optimized geometry
data_Hf2BAs
_chemical_formula_sum 'Hf4 B2 As2'
_cell_length_a 3.5220
_cell_length_b 3.5220
_cell_length_c 12.6056
_cell_angle_alpha 90.00
_cell_angle_beta 90.00
_cell_angle_gamma 120.00
_symmetry_space_group_name_H-M 'P 1'
_symmetry_Int_Tables_number 1
loop_
_symmetry_equiv_pos_as_xyz
'x,y,z'
loop_
_atom_site_label
_atom_site_type_symbol
_atom_site_fract_x
_atom_site_fract_y
_atom_site_fract_z
Hf1 Hf 0.3333 0.6667 0.3964
As1 As 0.3333 0.6667 0.7500
Hf2 Hf 0.6667 0.3333 0.6036
B1 B 0.0000 0.0000 0.5000
As2 As 0.6667 0.3333 0.2500
B2 B 0.0000 0.0000 0.0000
Hf3 Hf 0.6667 0.3333 0.8964
Hf4 Hf 0.3333 0.6667 0.1036
# Electronic total energy ... -8.657 eV/atom
# SG ... No. 194
# Calculated density ... 10.858 Mg/m³


No. 9
# PBE-GGA HfB2As, optimized geometry
data_HfB2As
_chemical_formula_sum 'Hf1 B2 As1'
_cell_length_a 4.3137
_cell_length_b 4.3137
_cell_length_c 4.3137
_cell_angle_alpha 60.00
_cell_angle_beta 60.00
_cell_angle_gamma 60.00
_symmetry_space_group_name_H-M 'P 1'
_symmetry_Int_Tables_number 1
loop_
_symmetry_equiv_pos_as_xyz
'x,y,z'
loop_
_atom_site_label
_atom_site_type_symbol
_atom_site_fract_x
_atom_site_fract_y
_atom_site_fract_z
B1 B 0.0000 0.0000 0.0000
B2 B 0.2500 0.2500 0.2500
Hf1 Hf 0.5000 0.5000 0.5000
As1 As 0.7500 0.7500 0.7500
# Electronic total energy ... -5.801 eV/atom
# SG ... No. 216
# Calculated density ... 8.047 Mg/m³


No. 10
# PBE-GGA HfBAs2, optimized geometry
data_HfBAs2
_chemical_formula_sum 'Hf1 B1 As2'
_cell_length_a 4.5479
_cell_length_b 4.5479
_cell_length_c 4.5479
_cell_angle_alpha 60.00
_cell_angle_beta 60.00
_cell_angle_gamma 60.00
_symmetry_space_group_name_H-M 'P 1'
_symmetry_Int_Tables_number 1
loop_
_symmetry_equiv_pos_as_xyz
'x,y,z'
loop_
_atom_site_label
_atom_site_type_symbol
_atom_site_fract_x
_atom_site_fract_y
_atom_site_fract_z
B1 B 0.5000 0.5000 0.5000
As1 As 0.7500 0.7500 0.7500
As2 As 0.0000 0.0000 0.0000
Hf1 Hf 0.2500 0.2500 0.2500
# Electronic total energy ... -5.838 eV/atom
# SG ... No. 216
# Calculated density ... 8.467 Mg/m³


No. 11
# PBE-GGA Hf4B3As, optimized geometry
data_Hf4B3As
_chemical_formula_sum 'Hf8 B6 As2'
_cell_length_a 3.4448
_cell_length_b 3.4448
_cell_length_c 24.1064
_cell_angle_alpha 90.00
_cell_angle_beta 90.00
_cell_angle_gamma 120.00
_symmetry_space_group_name_H-M 'P 1'
_symmetry_Int_Tables_number 1
loop_
_symmetry_equiv_pos_as_xyz
'x,y,z'
loop_
_atom_site_label
_atom_site_type_symbol
_atom_site_fract_x
_atom_site_fract_y
_atom_site_fract_z
B1 B 0.0000 0.0000 0.0000
Hf1 Hf 0.6667 0.3333 0.9414
As1 As 0.6667 0.3333 0.7500
Hf2 Hf 0.0000 0.0000 0.8292
B2 B 0.6667 0.3333 0.1179
Hf3 Hf 0.3333 0.6667 0.4414
B3 B 0.6667 0.3333 0.3821
Hf4 Hf 0.0000 0.0000 0.6708
Hf5 Hf 0.3333 0.6667 0.0586
Hf6 Hf 0.6667 0.3333 0.5586
Hf7 Hf 0.0000 0.0000 0.1708
B4 B 0.3333 0.6667 0.8821
B5 B 0.3333 0.6667 0.6179
B6 B 0.0000 0.0000 0.5000
Hf8 Hf 0.0000 0.0000 0.3292
As2 As 0.3333 0.6667 0.2500
# Electronic total energy ... -8.694 eV/atom
# SG ... No. 194
# Calculated density ... 11.010 Mg/m³


No. 12
# PBE-GGA Hf2B2As, optimized geometry
data_Hf2B2As
_chemical_formula_sum 'Hf2 B2 As1'
_cell_length_a 6.3515
_cell_length_b 6.3515
_cell_length_c 3.4379
_cell_angle_alpha 90.00
_cell_angle_beta 90.00
_cell_angle_gamma 150.63
_symmetry_space_group_name_H-M 'P 1'
_symmetry_Int_Tables_number 1
loop_
_symmetry_equiv_pos_as_xyz
'x,y,z'
loop_
_atom_site_label
_atom_site_type_symbol
_atom_site_fract_x
_atom_site_fract_y
_atom_site_fract_z
B1 B 0.2244 0.7756 0.0000
B2 B 0.7756 0.2244 0.0000
As1 As 0.0000 0.0000 0.0000
Hf1 Hf 0.3621 0.6379 0.5000
Hf2 Hf 0.6379 0.3621 0.5000
# Electronic total energy ... -8.268 eV/atom
# SG ... No. 65
# Calculated density ... 11.073 Mg/m³